Compound: CsAlHgTe3
Source: OQMD via LeMat-Bulk
Functional: GGA-PBE
Structure: optimized geometry

Results
Crystal system: orthorhombic
Electronic total energy in eV for the cell shown: -68.0

a b c (Å): 4.2582 17.1534 11.6939
angles (deg): 90.00 90.00 90.00
Space group Cmcm (No. 63)
Symmetry-distinct sites (fractional):
Cs  0.0000  0.2488  0.2500 [4 per cell]
Al  0.0000  0.5000  0.0000 [4 per cell]
Hg  0.0000  0.0557  0.7500 [4 per cell]
Te  0.0000  0.1111  0.5253 [8 per cell]
Te  0.0000  0.4425  0.7500 [4 per cell]

Compound: CsHoAl
Source: OQMD via LeMat-Bulk
Functional: GGA-PBE
Structure: optimized geometry

Results
Crystal system: cubic
Energy above the most stable polymorph in this dataset in meV/atom: 411.2
Electronic total energy in eV for the cell shown: -22.1

a b c (Å): 7.6553 7.6553 7.6553
angles (deg): 90.00 90.00 90.00
Space group F-43m (No. 216)
Symmetry-distinct sites (fractional):
Cs  0.0000  0.0000  0.0000 [4 per cell]
Ho  0.2500  0.2500  0.2500 [4 per cell]
Al  0.2500  0.2500  0.7500 [4 per cell]

Compound: CsHoAl
Source: OQMD via LeMat-Bulk
Functional: GGA-PBE
Structure: optimized geometry

Results
Crystal system: cubic
Energy above the most stable polymorph in this dataset in meV/atom: 0.0
Electronic total energy in eV for the cell shown: -27.0

a b c (Å): 7.6686 7.6686 7.6686
angles (deg): 90.00 90.00 90.00
Space group F-43m (No. 216)
Symmetry-distinct sites (fractional):
Cs  0.0000  0.0000  0.0000 [4 per cell]
Ho  0.2500  0.2500  0.7500 [4 per cell]
Al  0.0000  0.0000  0.5000 [4 per cell]

Compound: Cs2Ho2Al2O7
Source: OQMD via LeMat-Bulk
Functional: GGA-PBE
Structure: optimized geometry

Results
Crystal system: orthorhombic
Electronic total energy in eV for the cell shown: -171.4

a b c (Å): 5.8410 9.6738 9.3464
angles (deg): 90.00 90.00 90.00
Space group Imm2 (No. 44)
Symmetry-distinct sites (fractional):
Cs  0.0000  0.0000  0.0000 [2 per cell]
Cs  0.0000  0.5000  0.1820 [2 per cell]
Ho  0.0000  0.2000  0.4283 [4 per cell]
Al  0.0000  0.3372  0.7525 [4 per cell]
O  0.0000  0.3566  0.5672 [4 per cell]
O  0.0000  0.5000  0.8484 [2 per cell]
O  0.2400  0.2366  0.7990 [8 per cell]

Compound: CsHoAlSe3
Source: OQMD via LeMat-Bulk
Functional: GGA-PBE
Structure: optimized geometry

Results
Crystal system: orthorhombic
Electronic total energy in eV for the cell shown: -109.2

a b c (Å): 4.3370 15.9599 10.9959
angles (deg): 90.00 90.00 90.00
Space group Cmcm (No. 63)
Symmetry-distinct sites (fractional):
Cs  0.0000  0.2397  0.2500 [4 per cell]
Ho  0.0000  0.5000  0.0000 [4 per cell]
Al  0.0000  0.0297  0.7500 [4 per cell]
Se  0.0000  0.1164  0.5669 [8 per cell]
Se  0.0000  0.4495  0.7500 [4 per cell]

Compound: CsAlIr
Source: OQMD via LeMat-Bulk
Functional: GGA-PBE
Structure: optimized geometry

Results
Crystal system: cubic
Energy above the most stable polymorph in this dataset in meV/atom: 0.0
Electronic total energy in eV for the cell shown: -42.5

a b c (Å): 6.8933 6.8933 6.8933
angles (deg): 90.00 90.00 90.00
Space group F-43m (No. 216)
Symmetry-distinct sites (fractional):
Cs  0.0000  0.0000  0.0000 [4 per cell]
Al  0.0000  0.0000  0.5000 [4 per cell]
Ir  0.2500  0.2500  0.7500 [4 per cell]